Entry 1:
PBE-GGA Sm4ThSc, relaxed; N(E_F) = 1.783 states/eV per atom; raw total energy = -5.3082 eV per atom; symmetry = C2/m, No. 12; energy above the lowest structure with this stoichiometry = 0.51 eV/f.u.; calculated formation energy = 0.1298 eV/atom
1.0
5.800 0.000 0.000
2.900 5.621 -0.851
2.900 -1.086 6.018
Sm Sc Th
4 1 1
Cartesian
2.900 0.262 3.085 Sm
2.900 1.758 -0.228 Sm
8.700 4.273 2.082 Sm
8.700 2.777 5.396 Sm
0.000 0.000 0.000 Sc
5.800 2.268 2.584 Th

***

Entry 2:
PBE-GGA Sm4ThSc5, relaxed; N(E_F) = 1.510 states/eV per atom; raw total energy = -5.5367 eV per atom; symmetry = I4mm, No. 107; calculated formation energy = 0.2587 eV/atom
1.0
5.945 0.000 0.000
2.973 7.082 0.000
2.973 0.000 7.082
Sc Th Sm
5 1 4
Cartesian
4.093 0.000 0.000 Sc
2.523 0.002 4.417 Sc
5.496 4.417 7.080 Sc
8.469 7.080 2.665 Sc
5.496 2.665 0.002 Sc
1.224 0.000 0.000 Th
5.824 4.811 2.273 Sm
8.797 4.808 4.811 Sm
5.824 2.271 4.808 Sm
2.852 2.273 2.271 Sm

***

Entry 3:
PBE-GGA Sm2ThSc6, relaxed; N(E_F) = 1.794 states/eV per atom; raw total energy = -6.0506 eV per atom; symmetry = C2/m, No. 12; calculated formation energy = 0.0435 eV/atom
1.0
3.285 -0.256 -0.205
0.807 9.130 1.382
0.807 3.330 8.612
Th Sc Sm
1 6 2
Cartesian
1.615 12.459 9.994 Th
2.711 10.105 4.137 Sc
2.190 2.098 5.653 Sc
2.711 6.231 8.967 Sc
2.449 5.127 6.110 Sc
2.449 7.077 3.679 Sc
2.190 5.973 0.822 Sc
0.538 4.151 3.330 Sm
4.360 8.053 6.460 Sm

***

Entry 4:
PBE-GGA SmThSc, relaxed; N(E_F) = 1.424 states/eV per atom; raw total energy = -6.1051 eV per atom; symmetry = I4mm, No. 107; energy above the lowest structure with this stoichiometry = 0.00 eV/f.u.; calculated formation energy = 0.0518 eV/atom
1.0
3.538 0.000 0.000
0.000 3.538 0.000
-1.769 -1.769 7.232
Sm Th Sc
1 1 1
Cartesian
0.000 0.000 4.844 Sm
0.000 0.000 0.079 Th
1.769 1.769 2.309 Sc

***

Entry 5:
PBE-GGA Sm2Th3Sc6, relaxed; N(E_F) = 1.308 states/eV per atom; raw total energy = -6.1315 eV per atom; symmetry = C2/m, No. 12; calculated formation energy = 0.2036 eV/atom
1.0
5.688 0.000 1.705
2.844 5.150 0.852
-1.157 0.000 10.867
Sc Th Sm
6 3 2
Cartesian
3.395 3.451 9.476 Sc
3.981 1.700 3.948 Sc
0.551 1.700 8.624 Sc
6.825 3.451 4.800 Sc
1.161 0.000 3.095 Sc
3.370 0.000 9.477 Sc
5.688 3.430 1.705 Th
0.000 0.000 0.000 Th
2.844 1.721 0.852 Th
2.266 3.442 6.286 Sm
5.110 1.708 7.138 Sm

***

Entry 6:
PBE-GGA Sm2Th3Sc, relaxed; N(E_F) = 1.278 states/eV per atom; raw total energy = -6.1351 eV per atom; symmetry = C2/c, No. 15; calculated formation energy = 0.2032 eV/atom
1.0
-3.413 -0.294 -5.774
-5.414 -9.081 3.663
-0.913 7.500 0.154
Th Sm Sc
6 4 2
Cartesian
-5.145 -2.549 3.162 Th
-2.707 -4.540 1.832 Th
-6.852 -2.697 0.276 Th
-4.414 -4.687 -1.055 Th
-2.888 0.822 -2.232 Th
-4.595 0.674 -5.119 Th
-3.703 3.831 -3.863 Sm
-6.037 -5.707 1.906 Sm
-5.244 -1.663 -2.671 Sm
-4.496 -0.212 0.715 Sm
-6.748 -7.246 -1.496 Sc
-2.079 -2.129 -0.614 Sc

***

no.,ρ (kg/m³)
1,7643
2,5894
3,5425
4,7839
5,6402
6,9067